First-principles (GGA-PBE) data for a relaxed structure of GdHoMgIn, as listed in Alexandria.

Unit cell a=7.530 b=7.530 c=7.530 alpha=90.00 beta=90.00 gamma=90.00
Space group F-43m (No. 216)
Inequivalent atoms, fractional coordinates:
Gd (0.000, 0.000, 0.000) x4
Ho (0.000, 0.000, 0.500) x4
Mg (0.250, 0.250, 0.750) x4
In (0.250, 0.250, 0.250) x4

## Properties
Fermi-level density of states, states/eV per atom: 1.042
DFT formation energy, eV/atom: -0.322
Volume, Å³/cell: 427.0
Spin magnetization, μB/f.u.: 7.49